VASP calculation (PBE-GGA) on a relaxed structure of SrZnN2F. Values from VASP.

Structure (Quantum ESPRESSO input):
```
&SYSTEM
  ibrav = 0, nat = 5, ntyp = 4
/
ATOMIC_SPECIES
Zn 65.41 Zn.upf
F 19.00 F.upf
N 14.01 N.upf
Sr 87.62 Sr.upf
CELL_PARAMETERS angstrom
5.267 0.000 0.000
0.000 5.267 0.000
0.000 0.000 4.645
ATOMIC_POSITIONS angstrom
Zn 2.634 2.634 2.322
F 0.000 0.000 2.322
N 0.000 2.634 0.000
N 2.634 0.000 0.000
Sr 0.000 0.000 0.000
```

Raw formation energy, eV/atom: 0.58
Energy, eV/cell: -18.6
E above lowest polymorph, kcal/mol of atoms: 22.211